{
  "formula": "NaFeO2",
  "functional": "PBE with a Hubbard U",
  "state": "relaxed",
  "space_group": "R3m",
  "e_tot_ev_per_atom": -5.3988,
  "cell": [[-0.960, 1.490, 2.352], [0.677, -0.932, 2.710], [4.410, 3.218, 1.605]],
  "species": ["Na", "Fe", "O", "O"],
  "fractional_positions": [[0.497, 0.497, 0.509], [0.668, 0.668, 0.997], [0.064, 0.064, 0.807], [0.271, 0.271, 0.188]]
}